Record 1
La3HoCu4: optimized geometry, GGA-PBE.

Properties
D(E_F)   0.7964 states/eV per atom
Uncorrected energy   -0.3405 Ry/atom

Unit cell a=3.590 b=3.590 c=14.509 alpha=90.00 beta=90.00 gamma=90.00
Fractional positions:
Ho 0.500 0.500 0.000
Cu 0.000 0.000 0.894
Cu 0.000 0.000 0.106
Cu 0.000 0.000 0.372
Cu 0.000 0.000 0.628
La 0.500 0.500 0.244
La 0.500 0.500 0.500
La 0.500 0.500 0.756


Record 2
LaHo2Cu: optimized geometry, GGA-PBE.

Properties
Distance to the lowest polymorph of the same formula   0.000 eV/atom
D(E_F)   0.9880 states/eV per atom
Uncorrected energy   -0.3414 Ry/atom

Unit cell a=3.524 b=3.524 c=8.800 alpha=90.00 beta=90.00 gamma=90.00
Fractional positions:
Ho 0.000 0.000 0.813
Ho 0.000 0.000 0.187
Cu 0.500 0.500 0.000
La 0.500 0.500 0.500


Record 3
LaHo2Cu: optimized geometry, GGA-PBE.

Properties
Distance to the lowest polymorph of the same formula   0.132 eV/atom
D(E_F)   1.2565 states/eV per atom
Uncorrected energy   -0.3317 Ry/atom

Unit cell a=3.714 b=3.714 c=9.989 alpha=79.29 beta=79.29 gamma=60.00
Fractional positions:
La 0.502 0.502 0.495
Ho 0.063 0.063 0.810
Ho 0.269 0.269 0.192
Cu 0.666 0.666 0.003


Record 4
La2HoCu: optimized geometry, GGA-PBE.

Properties
Distance to the lowest polymorph of the same formula   0.099 eV/atom
D(E_F)   1.1149 states/eV per atom
Uncorrected energy   -0.3357 Ry/atom

Unit cell a=3.747 b=3.747 c=10.267 alpha=79.49 beta=79.49 gamma=60.00
Fractional positions:
La 0.070 0.070 0.789
La 0.263 0.263 0.210
Ho 0.499 0.499 0.503
Cu 0.667 0.667 0.998